Entry 1:
HoPdPt4: optimized geometry, PBE.

Unit cell a=4.9939 b=5.7169 c=7.0792 alpha=90.00 beta=90.04 gamma=90.00
Element x y z (fractional)
Ho: 0.1699 0.7500 0.3360
Ho: 0.8301 0.2500 0.6640
Pd: 0.8265 0.7500 0.6543
Pd: 0.1735 0.2500 0.3457
Pt: 0.3335 0.5046 0.6783
Pt: 0.6665 0.0046 0.3217
Pt: 0.3335 0.9954 0.6783
Pt: 0.6665 0.4954 0.3217
Pt: 0.0000 0.5000 0.0000
Pt: 0.0000 0.0000 0.0000
Pt: 0.5061 0.7500 0.9942
Pt: 0.4939 0.2500 0.0058

## Properties
Symmetry ... P2_1/m
Excess energy over the best structure of this formula in the dataset ... 0.041 eV/atom
E_tot ... -6.31 eV per atom

Entry 2:
KBaCuAs2: optimized geometry, PBE.

Unit cell a=7.7943 b=5.5554 c=6.6172 alpha=90.00 beta=90.00 gamma=90.00
Element x y z (fractional)
K: 0.6064 0.7500 0.0000
K: 0.3936 0.2500 0.0000
Ba: 0.1685 0.2500 0.5000
Ba: 0.8315 0.7500 0.5000
Cu: 0.0000 0.0000 0.0000
Cu: 0.0000 0.5000 0.0000
As: 0.7994 0.2500 0.7857
As: 0.7994 0.2500 0.2143
As: 0.2006 0.7500 0.7857
As: 0.2006 0.7500 0.2143

## Properties
Symmetry ... Pmma
E_tot ... -3.74 eV per atom

Entry 3:
Pr3NdGa2: optimized geometry, PBE.

Unit cell a=4.6526 b=10.3497 c=9.3019 alpha=124.14 beta=90.00 gamma=102.99
Element x y z (fractional)
Pr: 0.3204 0.6407 0.5745
Pr: 0.9526 0.9052 0.5935
Pr: 0.6495 0.2990 0.8232
Pr: 0.3505 0.7010 0.1768
Pr: 0.0474 0.0948 0.4065
Pr: 0.6796 0.3593 0.4255
Nd: 0.8834 0.7668 0.9081
Nd: 0.1166 0.2332 0.0919
Ga: 0.5028 0.0056 0.8633
Ga: 0.4972 0.9944 0.1367
Ga: 0.7683 0.5365 0.2482
Ga: 0.2317 0.4635 0.7518

## Properties
Symmetry ... C2/m
Excess energy over the best structure of this formula in the dataset ... 0.046 eV/atom
E_tot ... -4.53 eV per atom

Entry 4:
Co2TcTe: optimized geometry, PBE.

Unit cell a=4.2049 b=2.8910 c=4.6491 alpha=89.98 beta=90.00 gamma=90.00
Element x y z (fractional)
Co: 0.0000 0.1253 0.9771
Co: 0.5000 0.1246 0.2792
Tc: 0.0000 0.6246 0.4356
Te: 0.5000 0.6254 0.8081

## Properties
Symmetry ... Pmm2
E_tot ... -6.54 eV per atom
Energy relative to the elements, uncorrected ... 0.390 eV/atom

Entry 5:
LaCdTePH: optimized geometry, PBE.

Unit cell a=3.9789 b=4.0260 c=14.8968 alpha=90.00 beta=104.35 gamma=90.00
Element x y z (fractional)
La: 0.9226 0.0000 0.5307
La: 0.9226 0.5000 0.0307
Cd: 0.6757 0.0000 0.7579
Cd: 0.6757 0.5000 0.2579
Te: 0.3103 0.0000 0.9052
Te: 0.3103 0.5000 0.4052
P: 0.5892 0.0000 0.1403
P: 0.5892 0.5000 0.6403
H: 0.1978 0.0000 0.1199
H: 0.1978 0.5000 0.6199

## Properties
Symmetry ... Cm
Excess energy over the best structure of this formula in the dataset ... 0.102 eV/atom
E_tot ... -4.15 eV per atom

Entry 6:
BaP3Ir: optimized geometry, PBE.

Unit cell a=5.4726 b=5.4726 c=5.4726 alpha=90.00 beta=90.00 gamma=90.00
Element x y z (fractional)
P: 0.0000 0.5000 0.0000
P: 0.0000 0.0000 0.5000
P: 0.5000 0.0000 0.0000
Ir: 0.5000 0.5000 0.5000
Ba: 0.0000 0.0000 0.0000

## Properties
Symmetry ... Pm-3m
Excess energy over the best structure of this formula in the dataset ... 2.464 eV/atom
E_tot ... -2.94 eV per atom